Density functional theory data (GGA-PBEsol) for a relaxed structure of LiTePb.

Results
- Formation energy from raw total energies: -298 meV per atom

a = 6.4016 Å, b = 6.4016 Å, c = 6.4016 Å
α = 147.64°, β = 147.64°, γ = 46.42°
Positions (direct):
Li1 0.0000 0.0000 0.0000
Te1 0.3971 0.3971 0.0000
Pb1 0.6686 0.6686 0.0000